Entry 1:
# SmSb6Pd12

A relaxed SmSb6Pd12 crystal (PBE, Alexandria).

Geometry as POSCAR:
```
SmSb6Pd12
1.0
-1.496 5.389 5.120
0.935 -6.348 4.040
6.900 1.674 -2.661
Pd Sb Sm
12 6 1
Direct
0.360 0.118 0.360
0.640 0.640 0.882
0.882 0.640 0.640
0.121 0.879 0.500
0.500 0.879 0.121
0.360 0.360 0.118
0.118 0.360 0.360
0.500 0.121 0.879
0.879 0.500 0.121
0.640 0.882 0.640
0.879 0.121 0.500
0.121 0.500 0.879
0.735 0.322 0.735
0.265 0.678 0.265
0.322 0.735 0.735
0.678 0.265 0.265
0.735 0.735 0.322
0.265 0.265 0.678
0.000 0.000 0.000
```

***

Entry 2:
# SmSb2Pd6

A relaxed SmSb2Pd6 crystal (PBE, Alexandria).

Geometry as POSCAR:
```
SmSb2Pd6
1.0
-4.497 0.147 -3.382
-0.144 -3.027 4.743
-2.438 5.574 3.484
Sb Pd Sm
2 6 1
Direct
0.667 0.333 0.500
0.333 0.667 0.500
0.500 0.000 0.195
0.500 0.000 0.805
0.000 0.500 0.805
0.000 0.500 0.195
0.500 0.500 0.805
0.500 0.500 0.195
0.000 0.000 0.000
```

Results
ΔE to the lowest computed polymorph = 29 kJ/mol of formula units

***

The following ΔE_f (raw) values (in meV per atom) correspond, in order, to the records above: -385; -450.